# Nd4Hg3Ir PBE-GGA optimized geometry
data_Nd4Hg3Ir
_chemical_formula_sum 'Nd4 Hg3 Ir1'
_symmetry_space_group_name_H-M 'P 1'
_symmetry_Int_Tables_number 1
_symmetry_space_group_name_Hall 'P 1'
_cell_length_a 3.710
_cell_length_b 3.710
_cell_length_c 15.546
_cell_angle_alpha 90.00
_cell_angle_beta 90.00
_cell_angle_gamma 90.00
loop_
_atom_site_label
_atom_site_type_symbol
_atom_site_fract_x
_atom_site_fract_y
_atom_site_fract_z
_atom_site_occupancy
Nd1 Nd 0.000 0.000 0.894 1
Ir1 Ir 0.500 0.500 0.000 1
Nd2 Nd 0.000 0.000 0.371 1
Hg1 Hg 0.500 0.500 0.245 1
Nd3 Nd 0.000 0.000 0.629 1
Hg2 Hg 0.500 0.500 0.755 1
Hg3 Hg 0.500 0.500 0.500 1
Nd4 Nd 0.000 0.000 0.106 1
# * size of the total moment: 0.42 μB/cell
# * uncorrected energy: -4.109 eV per atom
# * formation energy from the elements: -0.50 eV/atom

---

# Nd11Hg9Ir4 PBE-GGA optimized geometry
data_Nd11Hg9Ir4
_chemical_formula_sum 'Nd11 Hg9 Ir4'
_symmetry_space_group_name_H-M 'P 1'
_symmetry_Int_Tables_number 1
_symmetry_space_group_name_Hall 'P 1'
_cell_length_a 3.823
_cell_length_b 13.337
_cell_length_c 13.337
_cell_angle_alpha 112.60
_cell_angle_beta 90.00
_cell_angle_gamma 90.00
loop_
_atom_site_label
_atom_site_type_symbol
_atom_site_fract_x
_atom_site_fract_y
_atom_site_fract_z
_atom_site_occupancy
Nd1 Nd 0.000 0.834 0.166 1
Nd2 Nd 0.000 0.627 0.373 1
Nd3 Nd 0.000 0.918 0.584 1
Nd4 Nd 0.000 0.305 0.305 1
Ir1 Ir 0.500 0.451 0.251 1
Hg1 Hg 0.500 0.633 0.154 1
Ir2 Ir 0.500 0.549 0.749 1
Nd5 Nd 0.000 0.166 0.834 1
Hg2 Hg 0.500 0.846 0.367 1
Nd6 Nd 0.000 0.695 0.695 1
Hg3 Hg 0.500 0.500 0.500 1
Nd7 Nd 0.000 0.416 0.082 1
Hg4 Hg 0.500 0.935 0.788 1
Hg5 Hg 0.500 0.154 0.633 1
Hg6 Hg 0.500 0.367 0.846 1
Hg7 Hg 0.500 0.065 0.212 1
Hg8 Hg 0.500 0.788 0.935 1
Ir3 Ir 0.500 0.749 0.549 1
Nd8 Nd 0.000 0.373 0.627 1
Ir4 Ir 0.500 0.251 0.451 1
Nd9 Nd 0.000 0.584 0.918 1
Nd10 Nd 0.000 0.082 0.416 1
Nd11 Nd 0.000 0.000 0.000 1
Hg9 Hg 0.500 0.212 0.065 1
# * size of the total moment: 0.28 μB/cell
# * uncorrected energy: -4.331 eV per atom
# * formation energy from the elements: -0.56 eV/atom

---

# NdPaHgIr PBE-GGA optimized geometry
data_NdPaHgIr
_chemical_formula_sum 'Nd1 Pa1 Hg1 Ir1'
_symmetry_space_group_name_H-M 'P 1'
_symmetry_Int_Tables_number 1
_symmetry_space_group_name_Hall 'P 1'
_cell_length_a 3.999
_cell_length_b 3.998
_cell_length_c 8.256
_cell_angle_alpha 90.00
_cell_angle_beta 104.04
_cell_angle_gamma 119.96
loop_
_atom_site_label
_atom_site_type_symbol
_atom_site_fract_x
_atom_site_fract_y
_atom_site_fract_z
_atom_site_occupancy
Ir1 Ir 0.318 0.557 0.890 1
Pa1 Pa 0.104 0.950 0.069 1
Hg1 Hg 0.960 0.378 0.354 1
Nd1 Nd 0.496 0.146 0.657 1
# * size of the total moment: 0.00 μB/cell
# * uncorrected energy: -6.321 eV per atom
# * formation energy from the elements: -0.46 eV/atom

---

# Nd5Hg2IrRh2 PBE-GGA optimized geometry
data_Nd5Hg2IrRh2
_chemical_formula_sum 'Nd10 Hg4 Ir2 Rh4'
_symmetry_space_group_name_H-M 'P 1'
_symmetry_Int_Tables_number 1
_symmetry_space_group_name_Hall 'P 1'
_cell_length_a 3.707
_cell_length_b 11.809
_cell_length_c 11.809
_cell_angle_alpha 90.00
_cell_angle_beta 90.00
_cell_angle_gamma 90.00
loop_
_atom_site_label
_atom_site_type_symbol
_atom_site_fract_x
_atom_site_fract_y
_atom_site_fract_z
_atom_site_occupancy
Rh1 Rh 0.000 0.633 0.867 1
Hg1 Hg 0.000 0.174 0.326 1
Hg2 Hg 0.000 0.674 0.174 1
Nd1 Nd 0.500 0.000 0.500 1
Nd2 Nd 0.500 0.420 0.309 1
Nd3 Nd 0.500 0.809 0.920 1
Nd4 Nd 0.500 0.691 0.420 1
Hg3 Hg 0.000 0.326 0.826 1
Nd5 Nd 0.500 0.500 0.000 1
Hg4 Hg 0.000 0.826 0.674 1
Rh2 Rh 0.000 0.133 0.633 1
Nd6 Nd 0.500 0.309 0.580 1
Nd7 Nd 0.500 0.080 0.809 1
Rh3 Rh 0.000 0.867 0.367 1
Nd8 Nd 0.500 0.580 0.691 1
Rh4 Rh 0.000 0.367 0.133 1
Nd9 Nd 0.500 0.920 0.191 1
Ir1 Ir 0.000 0.000 0.000 1
Ir2 Ir 0.000 0.500 0.500 1
Nd10 Nd 0.500 0.191 0.080 1
# * size of the total moment: 0.00 μB/cell
# * uncorrected energy: -5.322 eV per atom
# * formation energy from the elements: -0.52 eV/atom

---

# NdScHgIr PBE-GGA optimized geometry
data_NdScHgIr
_chemical_formula_sum 'Nd1 Sc1 Hg1 Ir1'
_symmetry_space_group_name_H-M 'P 1'
_symmetry_Int_Tables_number 1
_symmetry_space_group_name_Hall 'P 1'
_cell_length_a 5.006
_cell_length_b 5.006
_cell_length_c 5.006
_cell_angle_alpha 60.00
_cell_angle_beta 60.00
_cell_angle_gamma 60.00
loop_
_atom_site_label
_atom_site_type_symbol
_atom_site_fract_x
_atom_site_fract_y
_atom_site_fract_z
_atom_site_occupancy
Nd1 Nd 0.750 0.750 0.750 1
Sc1 Sc 0.250 0.250 0.250 1
Ir1 Ir 0.000 0.000 0.000 1
Hg1 Hg 0.500 0.500 0.500 1
# * size of the total moment: 0.00 μB/cell
# * uncorrected energy: -5.560 eV per atom
# * formation energy from the elements: -0.49 eV/atom

---

# Nd6HgIr2Se3 PBE-GGA optimized geometry
data_Nd6HgIr2Se3
_chemical_formula_sum 'Nd6 Hg1 Ir2 Se3'
_symmetry_space_group_name_H-M 'P 1'
_symmetry_Int_Tables_number 1
_symmetry_space_group_name_Hall 'P 1'
_cell_length_a 4.165
_cell_length_b 8.833
_cell_length_c 9.783
_cell_angle_alpha 108.45
_cell_angle_beta 102.29
_cell_angle_gamma 90.00
loop_
_atom_site_label
_atom_site_type_symbol
_atom_site_fract_x
_atom_site_fract_y
_atom_site_fract_z
_atom_site_occupancy
Nd1 Nd 0.996 0.735 0.993 1
Se1 Se 0.165 0.825 0.330 1
Hg1 Hg 0.500 0.000 0.000 1
Ir1 Ir 0.162 0.315 0.323 1
Nd2 Nd 0.678 0.558 0.356 1
Nd3 Nd 0.004 0.265 0.007 1
Nd4 Nd 0.672 0.096 0.344 1
Nd5 Nd 0.322 0.442 0.644 1
Se2 Se 0.835 0.175 0.670 1
Se3 Se 0.500 0.500 0.000 1
Nd6 Nd 0.328 0.904 0.656 1
Ir2 Ir 0.838 0.685 0.677 1
# * size of the total moment: 0.00 μB/cell
# * uncorrected formation energy: -1.149 eV/atom
# * uncorrected energy: -5.907 eV per atom

---

# SrNdHgIr PBE-GGA optimized geometry
data_SrNdHgIr
_chemical_formula_sum 'Sr1 Nd1 Hg1 Ir1'
_symmetry_space_group_name_H-M 'P 1'
_symmetry_Int_Tables_number 1
_symmetry_space_group_name_Hall 'P 1'
_cell_length_a 5.251
_cell_length_b 5.251
_cell_length_c 5.251
_cell_angle_alpha 60.00
_cell_angle_beta 60.00
_cell_angle_gamma 60.00
loop_
_atom_site_label
_atom_site_type_symbol
_atom_site_fract_x
_atom_site_fract_y
_atom_site_fract_z
_atom_site_occupancy
Ir1 Ir 0.000 0.000 0.000 1
Nd1 Nd 0.750 0.750 0.750 1
Sr1 Sr 0.250 0.250 0.250 1
Hg1 Hg 0.500 0.500 0.500 1
# * size of the total moment: 0.00 μB/cell
# * uncorrected energy: -4.232 eV per atom
# * formation energy from the elements: -0.33 eV/atom

---

# NdThHgIr PBE-GGA optimized geometry
data_NdThHgIr
_chemical_formula_sum 'Nd1 Th1 Hg1 Ir1'
_symmetry_space_group_name_H-M 'P 1'
_symmetry_Int_Tables_number 1
_symmetry_space_group_name_Hall 'P 1'
_cell_length_a 4.174
_cell_length_b 4.173
_cell_length_c 8.089
_cell_angle_alpha 90.00
_cell_angle_beta 104.97
_cell_angle_gamma 119.98
loop_
_atom_site_label
_atom_site_type_symbol
_atom_site_fract_x
_atom_site_fract_y
_atom_site_fract_z
_atom_site_occupancy
Th1 Th 0.101 0.948 0.065 1
Nd1 Nd 0.501 0.148 0.664 1
Hg1 Hg 0.967 0.382 0.365 1
Ir1 Ir 0.309 0.552 0.876 1
# * size of the total moment: 0.00 μB/cell
# * energy relative to the lowest polymorph listed for this composition: 0 meV/atom
# * uncorrected energy: -5.948 eV per atom
# * formation energy from the elements: -0.61 eV/atom

---

# NdThHgIr PBE-GGA optimized geometry
data_NdThHgIr
_chemical_formula_sum 'Nd1 Th1 Hg1 Ir1'
_symmetry_space_group_name_H-M 'P 1'
_symmetry_Int_Tables_number 1
_symmetry_space_group_name_Hall 'P 1'
_cell_length_a 5.213
_cell_length_b 5.213
_cell_length_c 5.213
_cell_angle_alpha 60.00
_cell_angle_beta 60.00
_cell_angle_gamma 60.00
loop_
_atom_site_label
_atom_site_type_symbol
_atom_site_fract_x
_atom_site_fract_y
_atom_site_fract_z
_atom_site_occupancy
Nd1 Nd 0.250 0.250 0.250 1
Ir1 Ir 0.000 0.000 0.000 1
Th1 Th 0.750 0.750 0.750 1
Hg1 Hg 0.500 0.500 0.500 1
# * size of the total moment: 0.00 μB/cell
# * energy relative to the lowest polymorph listed for this composition: 180 meV/atom
# * uncorrected energy: -5.767 eV per atom
# * formation energy from the elements: -0.43 eV/atom

---

# Nd5Tl2HgIr2 PBE-GGA optimized geometry
data_Nd5Tl2HgIr2
_chemical_formula_sum 'Nd10 Tl4 Hg2 Ir4'
_symmetry_space_group_name_H-M 'P 1'
_symmetry_Int_Tables_number 1
_symmetry_space_group_name_Hall 'P 1'
_cell_length_a 3.829
_cell_length_b 12.214
_cell_length_c 12.214
_cell_angle_alpha 90.00
_cell_angle_beta 90.00
_cell_angle_gamma 90.00
loop_
_atom_site_label
_atom_site_type_symbol
_atom_site_fract_x
_atom_site_fract_y
_atom_site_fract_z
_atom_site_occupancy
Tl1 Tl 0.000 0.326 0.826 1
Tl2 Tl 0.000 0.174 0.326 1
Ir1 Ir 0.000 0.631 0.869 1
Nd1 Nd 0.500 0.922 0.206 1
Ir2 Ir 0.000 0.369 0.131 1
Tl3 Tl 0.000 0.826 0.674 1
Nd2 Nd 0.500 0.422 0.294 1
Ir3 Ir 0.000 0.869 0.369 1
Nd3 Nd 0.500 0.706 0.422 1
Nd4 Nd 0.500 0.500 0.000 1
Nd5 Nd 0.500 0.206 0.078 1
Nd6 Nd 0.500 0.294 0.578 1
Hg1 Hg 0.000 0.000 0.000 1
Nd7 Nd 0.500 0.078 0.794 1
Ir4 Ir 0.000 0.131 0.631 1
Nd8 Nd 0.500 0.000 0.500 1
Nd9 Nd 0.500 0.794 0.922 1
Hg2 Hg 0.000 0.500 0.500 1
Tl4 Tl 0.000 0.674 0.174 1
Nd10 Nd 0.500 0.578 0.706 1
# * size of the total moment: 0.00 μB/cell
# * uncorrected energy: -5.130 eV per atom
# * formation energy from the elements: -0.47 eV/atom